{
  "formula": "La3CuAs",
  "functional": "PBE",
  "state": "relaxed",
  "space_group": "Pm-3m (221)",
  "ef_kj_per_mol_atoms": -10.3,
  "cell": [[5.702, 0.000, 0.000], [0.000, 5.702, 0.000], [0.000, 0.000, 5.702]],
  "species": ["As", "Cu", "La", "La", "La"],
  "fractional_positions": [[0.000, 0.000, 0.000], [0.500, 0.500, 0.500], [0.000, 0.500, 0.000], [0.000, 0.000, 0.500], [0.500, 0.000, 0.000]]
}

{
  "formula": "LaMnCuAs2",
  "functional": "PBE",
  "state": "relaxed",
  "space_group": "P4/mmm (123)",
  "ef_kj_per_mol_atoms": 122.6,
  "cell": [[5.592, 0.000, 0.000], [0.000, 5.705, 0.000], [0.000, 0.000, 5.592]],
  "species": ["As", "As", "Mn", "Cu", "La"],
  "fractional_positions": [[0.000, 0.000, 0.500], [0.500, 0.000, 0.000], [0.000, 0.500, 0.000], [0.500, 0.500, 0.500], [0.000, 0.000, 0.000]]
}

{
  "formula": "LaCuNiAs2",
  "functional": "PBE",
  "state": "relaxed",
  "space_group": "I-4m2 (119)",
  "ef_kj_per_mol_atoms": -71.8,
  "cell": [[-2.155, 2.663, 2.222], [-0.309, -2.753, 2.999], [5.867, 1.943, -0.391]],
  "species": ["La", "Cu", "Ni", "As", "As"],
  "fractional_positions": [[0.000, 0.000, 0.000], [0.250, 0.750, 0.500], [0.750, 0.250, 0.500], [0.632, 0.632, 0.264], [0.368, 0.368, 0.736]]
}

{
  "formula": "LaCuNi2As",
  "functional": "PBE",
  "state": "relaxed",
  "space_group": "P4/mmm (123)",
  "ef_kj_per_mol_atoms": -1.2,
  "cell": [[-3.368, 2.719, -1.427], [-1.660, -3.359, -2.483], [-2.568, -1.333, 3.521]],
  "species": ["Ni", "Ni", "As", "Cu", "La"],
  "fractional_positions": [[0.000, 0.000, 0.500], [0.500, 0.000, 0.000], [0.000, 0.500, 0.000], [0.000, 0.000, 0.000], [0.500, 0.500, 0.500]]
}

{
  "formula": "La2CuNi4As3",
  "functional": "PBE",
  "state": "relaxed",
  "space_group": "P-4m2 (115)",
  "ef_kj_per_mol_atoms": -73.9,
  "cell": [[-1.721, -2.143, -3.169], [3.174, 1.140, -2.495], [4.885, -7.826, 2.638]],
  "species": ["La", "La", "Cu", "Ni", "Ni", "Ni", "Ni", "As", "As", "As"],
  "fractional_positions": [[0.500, 0.000, 0.248], [0.000, 0.500, 0.752], [0.500, 0.500, 0.500], [0.500, 0.500, 0.000], [0.000, 0.000, 0.000], [0.500, 0.000, 0.621], [0.000, 0.500, 0.379], [0.000, 0.000, 0.500], [0.500, 0.000, 0.870], [0.000, 0.500, 0.130]]
}

{
  "formula": "La2Cu3NiAs4",
  "functional": "PBE",
  "state": "relaxed",
  "space_group": "P-4m2 (115)",
  "ef_kj_per_mol_atoms": -68.1,
  "cell": [[-2.102, -0.669, -3.712], [1.107, -4.172, 0.125], [-8.195, -2.025, 5.006]],
  "species": ["La", "La", "Cu", "Cu", "Cu", "Ni", "As", "As", "As", "As"],
  "fractional_positions": [[0.500, 0.000, 0.260], [0.000, 0.500, 0.740], [0.000, 0.000, 0.500], [0.500, 0.000, 0.873], [0.000, 0.500, 0.127], [0.500, 0.500, 0.500], [0.500, 0.500, 0.000], [0.000, 0.000, 0.000], [0.500, 0.000, 0.627], [0.000, 0.500, 0.373]]
}

{
  "formula": "LaCuAs2O8",
  "functional": "PBE",
  "state": "relaxed",
  "e_form_raw_ev_per_atom": -1.36,
  "space_group": "I-4m2 (119)",
  "cell": [[6.067, 0.030, 0.000], [-2.664, 5.451, 0.000], [-1.701, -2.740, 5.139]],
  "species": ["La", "Cu", "As", "As", "O", "O", "O", "O", "O", "O", "O", "O"],
  "fractional_positions": [[0.000, 0.000, 0.000], [0.250, 0.750, 0.500], [0.750, 0.250, 0.500], [0.500, 0.500, 0.000], [0.396, 0.071, 0.326], [0.330, 0.514, 0.184], [0.330, 0.145, 0.816], [0.745, 0.071, 0.674], [0.855, 0.670, 0.184], [0.929, 0.255, 0.326], [0.929, 0.604, 0.674], [0.486, 0.670, 0.816]]
}

{
  "formula": "LaCuAs2P",
  "functional": "PBE",
  "state": "relaxed",
  "space_group": "P4/mmm (123)",
  "ef_kj_per_mol_atoms": 16.5,
  "cell": [[-1.774, -4.123, 1.539], [4.952, -1.349, 2.094], [-1.183, 2.045, 4.116]],
  "species": ["P", "As", "As", "Cu", "La"],
  "fractional_positions": [[0.000, 0.000, 0.000], [0.000, 0.000, 0.500], [0.500, 0.000, 0.000], [0.500, 0.500, 0.500], [0.000, 0.500, 0.000]]
}

{
  "formula": "La2CuAs3Pd4",
  "functional": "PBE",
  "state": "relaxed",
  "space_group": "P-4m2 (115)",
  "ef_kj_per_mol_atoms": -83.4,
  "cell": [[-0.676, -0.965, -4.236], [2.832, -3.350, 0.311], [-7.566, -6.155, 2.610]],
  "species": ["La", "La", "Cu", "As", "As", "As", "Pd", "Pd", "Pd", "Pd"],
  "fractional_positions": [[0.500, 0.000, 0.249], [0.000, 0.500, 0.751], [0.500, 0.500, 0.500], [0.000, 0.000, 0.500], [0.500, 0.000, 0.864], [0.000, 0.500, 0.136], [0.500, 0.500, 0.000], [0.000, 0.000, 0.000], [0.500, 0.000, 0.619], [0.000, 0.500, 0.381]]
}

{
  "formula": "La2CuAs4Pt3",
  "functional": "PBE",
  "state": "relaxed",
  "space_group": "P-4m2 (115)",
  "ef_kj_per_mol_atoms": -87.0,
  "cell": [[4.487, 0.000, 0.000], [0.000, 4.487, 0.000], [0.000, 0.000, 9.888]],
  "species": ["La", "La", "Cu", "As", "As", "As", "As", "Pt", "Pt", "Pt"],
  "fractional_positions": [[0.500, 0.000, 0.252], [0.000, 0.500, 0.748], [0.500, 0.500, 0.500], [0.500, 0.500, 0.000], [0.000, 0.000, 0.000], [0.500, 0.000, 0.627], [0.000, 0.500, 0.373], [0.000, 0.000, 0.500], [0.500, 0.000, 0.881], [0.000, 0.500, 0.119]]
}

{
  "formula": "La2CuAs3Rh4",
  "functional": "PBE",
  "state": "relaxed",
  "space_group": "P-4m2 (115)",
  "ef_kj_per_mol_atoms": -84.9,
  "cell": [[4.254, 0.000, 0.000], [0.000, 4.254, 0.000], [0.000, 0.000, 10.264]],
  "species": ["La", "La", "Cu", "As", "As", "As", "Rh", "Rh", "Rh", "Rh"],
  "fractional_positions": [[0.500, 0.000, 0.260], [0.000, 0.500, 0.740], [0.500, 0.500, 0.500], [0.000, 0.000, 0.500], [0.500, 0.000, 0.864], [0.000, 0.500, 0.136], [0.500, 0.500, 0.000], [0.000, 0.000, 0.000], [0.500, 0.000, 0.628], [0.000, 0.500, 0.372]]
}

{
  "formula": "La2Cu3As4Rh",
  "functional": "PBE",
  "state": "relaxed",
  "space_group": "P-4m2 (115)",
  "ef_kj_per_mol_atoms": -68.8,
  "cell": [[4.361, 0.000, 0.000], [0.000, 4.361, 0.000], [0.000, 0.000, 9.857]],
  "species": ["La", "La", "Cu", "Cu", "Cu", "As", "As", "As", "As", "Rh"],
  "fractional_positions": [[0.500, 0.000, 0.255], [0.000, 0.500, 0.745], [0.000, 0.000, 0.500], [0.500, 0.000, 0.876], [0.000, 0.500, 0.124], [0.500, 0.500, 0.000], [0.000, 0.000, 0.000], [0.500, 0.000, 0.631], [0.000, 0.500, 0.369], [0.500, 0.500, 0.500]]
}